# Ac2PuNiO6

A geometry-optimized Ac2PuNiO6 structure (PBE with a Hubbard U, Alexandria via LeMat-Bulk).

Lattice parameters (Å, degrees): 5.9057 5.9998 10.2152 90.00 124.73 90.00
Positions (direct):
Ac1 0.2368 0.0450 0.2485
Ac2 0.2368 0.4550 0.7485
Ac3 0.7632 0.5450 0.2515
Ac4 0.7632 0.9550 0.7515
Pu1 0.5000 0.0000 0.0000
Pu2 0.5000 0.5000 0.5000
Ni1 0.0000 0.0000 0.5000
Ni2 0.0000 0.5000 0.0000
O1 0.1519 0.2097 0.9508
O2 0.1519 0.2903 0.4508
O3 0.2363 0.7037 0.9483
O4 0.2363 0.7963 0.4483
O5 0.3393 0.0297 0.7450
O6 0.3393 0.4703 0.2450
O7 0.6607 0.5297 0.7550
O8 0.6607 0.9703 0.2550
O9 0.7637 0.2037 0.5517
O10 0.7637 0.2963 0.0517
O11 0.8481 0.7097 0.5492
O12 0.8481 0.7903 0.0492

Calculated total energy in eV/atom: -8.26